A geometry-optimized Li3Zn2Ga3 structure. Source: the Alexandria database, functional PBE.

a b c (Å): 8.1089 8.1089 4.0084
angles (deg): 104.03 104.03 29.12
Last column: nearest neighbours and their distance in Å.
Fractional positions:
Li1 0.0000 0.0000 0.0000  4 Li 2.78-2.80, 8 Ga 2.86-2.87
Li2 0.1274 0.1274 0.6287  4 Zn 2.69-2.80, 2 Li 2.78-2.80, 6 Ga 2.81-2.86
Li3 0.8726 0.8726 0.3713  4 Zn 2.69-2.80, 2 Li 2.78-2.80, 6 Ga 2.81-2.86
Zn1 0.2466 0.2466 0.2479  4 Ga 2.68-2.72, 4 Li 2.69-2.80, 4 Zn 2.85-2.87
Zn2 0.7534 0.7534 0.7521  4 Ga 2.68-2.72, 4 Li 2.69-2.80, 4 Zn 2.85-2.87
Ga1 0.3675 0.3675 0.8674  4 Zn 2.68-2.72, 2 Ga 2.83-2.85, 6 Li 2.86-2.87
Ga2 0.5000 0.5000 0.5000  8 Li 2.81-2.86, 4 Ga 2.83-2.85
Ga3 0.6325 0.6325 0.1326  4 Zn 2.68-2.72, 2 Ga 2.83-2.85, 6 Li 2.86-2.87

Calculated values
- formation enthalpy at 0 K (eV/atom) = -0.2359
- energy above the lowest structure with this stoichiometry (eV/f.u.) = 0.00
- energy (eV per atom) = -2.4071
- crystal system = monoclinic
- spin magnetization (μB per atom) = 0.000